*a*
First-principles (GGA-PBE) data for an optimized crystal structure of Si2HIr2, as listed in the Alexandria database.

Properties
Its space group is No. 139.

abc: 5.5735 5.5735 5.5735
angles: 137.32 137.32 61.95
Atoms (fractional coordinates):
1 Si 0.1230 0.1230 0.0000
2 Si 0.8770 0.8770 0.0000
3 H 0.5000 0.5000 0.0000
4 Ir 0.2500 0.7500 0.5000
5 Ir 0.7500 0.2500 0.5000

*b*
First-principles (GGA-PBE) data for an optimized crystal structure of Si2HIr2, as listed in the Alexandria database.

Properties
Its space group is No. 127.

abc: 7.0447 7.0447 2.7506
angles: 90.00 90.00 90.00
Atoms (fractional coordinates):
1 Si 0.1514 0.3486 0.0000
2 Si 0.3486 0.8486 0.0000
3 Si 0.6514 0.1514 0.0000
4 Si 0.8486 0.6514 0.0000
5 H 0.0000 0.0000 0.0000
6 H 0.5000 0.5000 0.0000
7 Ir 0.1447 0.6447 0.5000
8 Ir 0.3553 0.1447 0.5000
9 Ir 0.6447 0.8553 0.5000
10 Ir 0.8553 0.3553 0.5000

Which structure wins on stability? *b* wins.

*a*
First-principles (GGA-PBE) data for an optimized crystal structure of SiH3Ir, as listed in the Alexandria database.

Properties
Its space group is No. 221.

abc: 3.4234 3.4234 3.4234
angles: 90.00 90.00 90.00
Atoms (fractional coordinates):
1 Si 0.0000 0.0000 0.0000
2 H 0.0000 0.0000 0.5000
3 H 0.0000 0.5000 0.0000
4 H 0.5000 0.0000 0.0000
5 Ir 0.5000 0.5000 0.5000

*b*
First-principles (GGA-PBE) data for an optimized crystal structure of SiH3Ir, as listed in the Alexandria database.

Properties
Its space group is No. 221.

abc: 3.5560 3.5560 3.5560
angles: 90.00 90.00 90.00
Atoms (fractional coordinates):
1 Si 0.0000 0.0000 0.0000
2 H 0.0000 0.5000 0.5000
3 H 0.5000 0.0000 0.5000
4 H 0.5000 0.5000 0.0000
5 Ir 0.5000 0.5000 0.5000

Which structure wins on stability? *b* wins.

*a*
First-principles (GGA-PBE) data for an optimized crystal structure of SnHIr3, as listed in the Alexandria database.

Properties
Its space group is No. 221.

abc: 4.0346 4.0346 4.0346
angles: 90.00 90.00 90.00
Atoms (fractional coordinates):
1 Sn 0.0000 0.0000 0.0000
2 H 0.5000 0.5000 0.5000
3 Ir 0.0000 0.5000 0.5000
4 Ir 0.5000 0.0000 0.5000
5 Ir 0.5000 0.5000 0.0000

*b*
First-principles (GGA-PBE) data for an optimized crystal structure of SnHIr3, as listed in the Alexandria database.

Properties
Its space group is No. 221.

abc: 4.9195 4.9195 4.9195
angles: 90.00 90.00 90.00
Atoms (fractional coordinates):
1 Sn 0.0000 0.0000 0.0000
2 H 0.5000 0.5000 0.5000
3 Ir 0.0000 0.0000 0.5000
4 Ir 0.0000 0.5000 0.0000
5 Ir 0.5000 0.0000 0.0000

Which structure wins on stability? *a* wins.

*a*
First-principles (GGA-PBE) data for an optimized crystal structure of SnH3Ir, as listed in the Alexandria database.

Properties
Its space group is No. 221.

abc: 3.8462 3.8462 3.8462
angles: 90.00 90.00 90.00
Atoms (fractional coordinates):
1 Sn 0.0000 0.0000 0.0000
2 H 0.0000 0.0000 0.5000
3 H 0.0000 0.5000 0.0000
4 H 0.5000 0.0000 0.0000
5 Ir 0.5000 0.5000 0.5000

*b*
First-principles (GGA-PBE) data for an optimized crystal structure of SnH3Ir, as listed in the Alexandria database.

Properties
Its space group is No. 11.

abc: 4.8178 4.4404 5.3849
angles: 90.00 106.39 90.00
Atoms (fractional coordinates):
1 Sn 0.2463 0.2500 0.4989
2 Sn 0.7537 0.7500 0.5011
3 H 0.0534 0.7500 0.8857
4 H 0.3343 0.0086 0.0611
5 H 0.3343 0.4914 0.0611
6 H 0.6657 0.5086 0.9389
7 H 0.6657 0.9914 0.9389
8 H 0.9466 0.2500 0.1143
9 Ir 0.3623 0.7500 0.8087
10 Ir 0.6377 0.2500 0.1913

*c*
First-principles (GGA-PBE) data for an optimized crystal structure of SnH3Ir, as listed in the Alexandria database.

Properties
Its space group is No. 221.

abc: 3.7184 3.7184 3.7184
angles: 90.00 90.00 90.00
Atoms (fractional coordinates):
1 Sn 0.0000 0.0000 0.0000
2 H 0.0000 0.5000 0.5000
3 H 0.5000 0.0000 0.5000
4 H 0.5000 0.5000 0.0000
5 Ir 0.5000 0.5000 0.5000

Which structure wins on stability? *b* wins.

*a*
First-principles (GGA-PBE) data for an optimized crystal structure of Y2SnHIr, as listed in the Alexandria database.

Properties
Its space group is No. 123.

abc: 4.9216 4.9216 3.9083
angles: 90.00 90.00 90.00
Atoms (fractional coordinates):
1 Y 0.0000 0.5000 0.0000
2 Y 0.5000 0.0000 0.0000
3 Sn 0.0000 0.0000 0.5000
4 H 0.5000 0.5000 0.0000
5 Ir 0.5000 0.5000 0.5000

*b*
First-principles (GGA-PBE) data for an optimized crystal structure of Y2SnHIr, as listed in the Alexandria database.

Properties
Its space group is No. 123.

abc: 5.5276 5.5276 3.5645
angles: 90.00 90.00 90.00
Atoms (fractional coordinates):
1 Y 0.0000 0.5000 0.0000
2 Y 0.5000 0.0000 0.0000
3 Sn 0.0000 0.0000 0.5000
4 H 0.5000 0.5000 0.5000
5 Ir 0.5000 0.5000 0.0000

Which structure wins on stability? *a* wins.

*a*
First-principles (GGA-PBE) data for an optimized crystal structure of Sr2H4Ir, as listed in the Alexandria database.

Properties
Its space group is No. 11.

abc: 5.2111 5.6368 7.8555
angles: 90.00 90.05 90.00
Atoms (fractional coordinates):
1 Sr 0.2400 0.2500 0.0092
2 Sr 0.2403 0.2500 0.4901
3 Sr 0.7597 0.7500 0.5099
4 Sr 0.7600 0.7500 0.9908
5 H 0.2591 0.7500 0.5334
6 H 0.2602 0.7500 0.9665
7 H 0.3366 0.0405 0.7498
8 H 0.3366 0.4595 0.7498
9 H 0.6634 0.5405 0.2502
10 H 0.6634 0.9595 0.2502
11 H 0.7398 0.2500 0.0335
12 H 0.7409 0.2500 0.4666
13 Ir 0.2706 0.7500 0.7500
14 Ir 0.7294 0.2500 0.2500

*b*
First-principles (GGA-PBE) data for an optimized crystal structure of Sr2H4Ir, as listed in the Alexandria database.

Properties
Its space group is No. 139.

abc: 8.1231 8.1231 8.1231
angles: 153.31 153.31 38.10
Atoms (fractional coordinates):
1 Sr 0.1292 0.1292 0.0000
2 Sr 0.8708 0.8708 0.0000
3 H 0.0000 0.5000 0.5000
4 H 0.3880 0.3880 0.0000
5 H 0.5000 0.0000 0.5000
6 H 0.6120 0.6120 0.0000
7 Ir 0.5000 0.5000 0.0000

Which structure wins on stability? *a* wins.

*a*
First-principles (GGA-PBE) data for an optimized crystal structure of TaHIr2, as listed in the Alexandria database.

Properties
Its space group is No. 122.

abc: 5.1532 5.1532 5.1532
angles: 104.30 104.30 120.40
Atoms (fractional coordinates):
1 Ta 0.0000 0.0000 0.0000
2 Ta 0.7500 0.2500 0.5000
3 H 0.2500 0.7500 0.5000
4 H 0.5000 0.5000 0.0000
5 Ir 0.2183 0.6250 0.0933
6 Ir 0.3750 0.4683 0.5933
7 Ir 0.5317 0.1250 0.9067
8 Ir 0.8750 0.7817 0.4067

*b*
First-principles (GGA-PBE) data for an optimized crystal structure of TaHIr2, as listed in the Alexandria database.

Properties
Its space group is No. 225.

abc: 4.2714 4.2714 4.2714
angles: 60.00 60.00 60.00
Atoms (fractional coordinates):
1 Ta 0.0000 0.0000 0.0000
2 H 0.5000 0.5000 0.5000
3 Ir 0.2500 0.2500 0.2500
4 Ir 0.7500 0.7500 0.7500

Which structure wins on stability? *a* wins.

*a*
First-principles (GGA-PBE) data for an optimized crystal structure of TaTc2HIr, as listed in the Alexandria database.

Properties
Its space group is No. 123.

abc: 3.9708 3.9708 4.0136
angles: 90.00 90.00 90.00
Atoms (fractional coordinates):
1 Ta 0.0000 0.0000 0.0000
2 Tc 0.0000 0.5000 0.5000
3 Tc 0.5000 0.0000 0.5000
4 H 0.5000 0.5000 0.5000
5 Ir 0.5000 0.5000 0.0000

*b*
First-principles (GGA-PBE) data for an optimized crystal structure of TaTc2HIr, as listed in the Alexandria database.

Properties
Its space group is No. 123.

abc: 3.9333 3.9333 4.0877
angles: 90.00 90.00 90.00
Atoms (fractional coordinates):
1 Ta 0.0000 0.0000 0.0000
2 Tc 0.0000 0.5000 0.5000
3 Tc 0.5000 0.0000 0.5000
4 H 0.0000 0.0000 0.5000
5 Ir 0.5000 0.5000 0.0000

Which structure wins on stability? *b* wins.